Computed, not measured: a relaxed structure of La4Ru2Pb at the PBE level of DFT.

Cell: 8.0591 7.9663 8.3962 Å, 108.79 109.78 109.47°
Sites, in units of the cell vectors:
Pb: 0.0082 0.9926 0.9848
Pb: 0.2527 0.7490 0.4837
La: 0.5089 0.6737 0.8153
La: 0.7543 0.9989 0.5761
La: 0.9057 0.5484 0.6761
Ru: 0.2257 0.3439 0.7411
La: 0.8042 0.6583 0.1934
La: 0.4051 0.1192 0.9139
La: 0.9174 0.2484 0.2997
Ru: 0.5923 0.9850 0.2378
La: 0.3703 0.1647 0.4278
Ru: 0.6555 0.3478 0.7860
La: 0.2456 0.5073 0.0737
Ru: 0.6041 0.4127 0.2905

energy: -6.262 eV per atom
ΔH_f (0 K): -0.2666 eV/atom
space-group type: P1, No. 1